10
Lattice="7.0273 0.0000 0.0000 0.0000 7.0273 0.0000 0.0000 0.0000 2.8827" Properties=species:S:1:pos:R:3 comment="Zn2Fe2Au, optimized geometry, DFT PBE" magmom_total_mub_per_fu=5.2 formation_enthalpy_0k_ev_per_atom=0.178 rho_g_cm3=10.3 pbc="T T T"
Zn 0.9034 2.6102 0.0000
Zn 2.6102 6.1239 0.0000
Zn 4.4170 0.9034 0.0000
Zn 6.1239 4.4170 0.0000
Fe 1.1872 4.7009 1.4414
Fe 2.3264 1.1872 1.4414
Fe 4.7009 5.8400 1.4414
Fe 5.8400 2.3264 1.4414
Au 0.0000 0.0000 0.0000
Au 3.5136 3.5136 0.0000

***

3
Lattice="-1.4195 1.8316 4.2907 1.4195 -1.8316 4.2907 1.4195 1.8316 -4.2907" Properties=species:S:1:pos:R:3 comment="ZnFeAu, optimized geometry, DFT PBE" magmom_total_mub_per_fu=2.8 formation_enthalpy_0k_ev_per_atom=0.080 rho_g_cm3=11.8 pbc="T T T"
Zn 0.0000 0.0000 0.0000
Fe 0.0000 0.0000 2.9825
Au 0.0000 0.0000 5.7888

***

4
Lattice="2.8197 0.0000 0.0000 0.0000 2.8197 0.0000 0.0000 0.0000 7.4687" Properties=species:S:1:pos:R:3 comment="Zn2FeAu, optimized geometry, DFT PBE" magmom_total_mub_per_fu=2.7 formation_enthalpy_0k_ev_per_atom=0.025 rho_g_cm3=10.7 pbc="T T T"
Zn 0.0000 0.0000 0.0000
Zn 1.4098 1.4098 1.8792
Fe 1.4098 1.4098 5.7773
Au 0.0000 0.0000 3.8571

***

4
Lattice="4.3896 -1.3905 0.0000 4.3896 1.3905 0.0000 -0.8460 0.0000 4.8383" Properties=species:S:1:pos:R:3 comment="Zn2FeAu, optimized geometry, DFT PBE" magmom_total_mub_per_fu=2.4 formation_enthalpy_0k_ev_per_atom=0.022 rho_g_cm3=10.8 pbc="T T T"
Zn 1.9576 0.0000 1.1169
Zn 5.9756 0.0000 3.7214
Fe 4.3896 0.0000 0.0000
Au -0.4230 0.0000 2.4191

***

4
Lattice="0.0000 3.1557 3.1557 3.1557 0.0000 3.1557 3.1557 3.1557 0.0000" Properties=species:S:1:pos:R:3 comment="ZrFe2Au, optimized geometry, DFT PBE" magmom_total_mub_per_fu=4.2 formation_enthalpy_0k_ev_per_atom=0.000 rho_g_cm3=10.6 pbc="T T T"
Zr 0.0000 0.0000 0.0000
Fe 1.5779 1.5779 1.5779
Fe 4.7336 4.7336 4.7336
Au 3.1557 3.1557 3.1557

***

4
Lattice="3.1773 0.0000 0.0000 0.0000 3.1566 0.0000 -0.0096 0.0000 7.2751" Properties=species:S:1:pos:R:3 comment="Zr2FeAu, optimized geometry, DFT PBE" magmom_total_mub_per_fu=0.5 formation_enthalpy_0k_ev_per_atom=-0.329 rho_g_cm3=9.9 pbc="T T T"
Zr -0.0002 0.0000 2.0466
Zr 3.1678 0.0000 5.2285
Fe 1.5838 1.5783 3.6376
Au 1.5886 1.5783 0.0000

***

8
Lattice="-1.9555 1.9555 8.9919 1.9555 -1.9555 8.9919 1.9555 1.9555 -8.9919" Properties=species:S:1:pos:R:3 comment="ZrFe2Au, optimized geometry, DFT PBE" magmom_total_mub_per_fu=0.0 formation_enthalpy_0k_ev_per_atom=0.491 rho_g_cm3=9.7 pbc="T T T"
Zr 0.0000 0.0000 0.0000
Zr 0.0000 1.9555 4.4960
Fe 0.9777 -0.5736 6.7439
Fe 1.3819 0.9777 2.2480
Fe 0.9777 2.5291 -2.2480
Fe 0.5736 0.9777 11.2399
Au 1.9555 0.0000 4.4960
Au 0.0000 0.0000 8.9919

***

16
Lattice="-3.6253 3.6253 5.8528 3.6253 -3.6253 5.8528 3.6253 3.6253 -5.8528" Properties=species:S:1:pos:R:3 comment="Zr5Fe2Au, optimized geometry, DFT PBE" magmom_total_mub_per_fu=0.0 formation_enthalpy_0k_ev_per_atom=-0.244 rho_g_cm3=8.3 pbc="T T T"
Zr 0.0000 0.0000 0.0000
Zr 4.7579 1.1326 -1.6179
Zr 1.1326 2.4927 -1.6179
Zr 4.7579 1.1326 1.6179
Zr 1.1326 2.4927 1.6179
Zr 0.0000 0.0000 5.8528
Zr 2.4927 1.1326 4.2350
Zr -1.1326 2.4927 4.2350
Zr 2.4927 1.1326 7.4707
Zr -1.1326 2.4927 7.4707
Fe 2.6446 0.9807 0.0000
Fe 2.6446 -0.9807 5.8528
Fe 0.9807 4.6060 0.0000
Fe 0.9807 2.6446 5.8528
Au 0.0000 0.0000 2.9264
Au 0.0000 0.0000 8.7792

***

6
Lattice="0.0000 3.8411 3.8411 3.8411 0.0000 3.8411 3.8411 3.8411 0.0000" Properties=species:S:1:pos:R:3 comment="ZrFeAu4, optimized geometry, DFT PBE" magmom_total_mub_per_fu=2.1 formation_enthalpy_0k_ev_per_atom=0.124 rho_g_cm3=13.7 pbc="T T T"
Zr 0.0000 0.0000 0.0000
Fe 1.9206 1.9206 1.9206
Au 4.7993 2.8829 2.8829
Au 2.8829 4.7993 2.8829
Au 2.8829 2.8829 4.7993
Au 4.7993 4.7993 4.7993

***

18
Lattice="7.4843 -3.3193 0.0000 7.4843 3.3193 0.0000 0.0000 0.0000 7.0657" Properties=species:S:1:pos:R:3 comment="Zr5Fe2Au2, optimized geometry, DFT PBE" magmom_total_mub_per_fu=0.0 formation_enthalpy_0k_ev_per_atom=-0.287 rho_g_cm3=9.1 pbc="T T T"
Zr 0.0000 0.0000 0.0000
Zr 5.6537 2.1503 4.8075
Zr 5.6537 1.1690 1.2747
Zr 9.3148 2.1503 4.8075
Zr 9.3148 1.1690 1.2747
Zr 7.4843 0.0000 3.5329
Zr 5.6537 -1.1690 5.7910
Zr 5.6537 -2.1503 2.2582
Zr 9.3148 -1.1690 5.7910
Zr 9.3148 -2.1503 2.2582
Fe 7.4843 2.5000 2.6026
Fe 7.4843 0.8193 6.1354
Fe 7.4843 -0.8193 0.9303
Fe 7.4843 -2.5000 4.4632
Au 3.2673 0.0000 0.0000
Au 4.2169 0.0000 3.5329
Au 10.7516 0.0000 3.5329
Au 11.7012 0.0000 0.0000

***

18
Lattice="-4.2126 4.3499 4.8716 4.2126 -4.3499 4.8716 4.2126 4.3499 -4.8716" Properties=species:S:1:pos:R:3 comment="Zr6Fe2Au, optimized geometry, DFT PBE" magmom_total_mub_per_fu=0.0 formation_enthalpy_0k_ev_per_atom=-0.206 rho_g_cm3=8.0 pbc="T T T"
Zr 4.2126 2.5896 -2.5921
Zr 2.5276 1.6234 0.0000
Zr 5.8975 1.6234 0.0000
Zr 1.6298 4.3499 -1.6605
Zr 2.5828 0.0000 3.2111
Zr 0.0000 1.7603 2.2795
Zr 4.2126 2.5896 2.5921
Zr 1.6298 4.3499 1.6605
Zr 2.5828 0.0000 6.5321
Zr -1.6849 2.7265 4.8716
Zr 1.6849 2.7265 4.8716
Zr 0.0000 1.7603 7.4637
Fe 4.2126 0.0000 1.2960
Fe 0.0000 2.9053 0.0000
Fe 0.0000 5.7946 0.0000
Fe 0.0000 4.3499 3.5756
Au 0.0000 0.0000 0.0000
Au 0.0000 0.0000 4.8716

***

4
Lattice="0.0000 3.2986 3.2986 3.2986 0.0000 3.2986 3.2986 3.2986 0.0000" Properties=species:S:1:pos:R:3 comment="Zr2FeAu, optimized geometry, DFT PBE" magmom_total_mub_per_fu=0.9 formation_enthalpy_0k_ev_per_atom=-0.058 rho_g_cm3=10.1 pbc="T T T"
Zr 0.0000 0.0000 0.0000
Zr 1.6493 1.6493 1.6493
Fe 4.9479 4.9479 4.9479
Au 3.2986 3.2986 3.2986